Density functional theory data (GGA-PBE) for a geometry-optimized Al3CuRh2 structure.

## Properties
For the calculated volume, the calculation gives 13.564 A^3/atom. The density comes out at 7.15 Mg/m³. As for the energy of formation from the pure elements: -789 meV/atom. The magnetic moment is 0.00 μB per formula unit. For the energy above the most stable polymorph in this dataset, the calculation gives 0.343 kcal/mol of atoms. For the raw total energy, the calculation gives -5.794 eV/atom.

abc: 2.9873 4.2433 6.7617
angles: 108.29 90.00 90.00
Fractional positions:
Al 0.5000 0.5000 0.0000
Al 0.5000 0.8317 0.6635
Al 0.5000 0.1683 0.3365
Cu 0.0000 0.0000 0.0000
Rh 0.0000 0.3362 0.6724
Rh 0.0000 0.6638 0.3276